A relaxed ScAgW3 crystal. Source: Alexandria via LeMat-Bulk, functional GGA-PBE.

a = 4.6245 Å, b = 4.6245 Å, c = 4.6245 Å
α = 90.00°, β = 90.00°, γ = 90.00°
Last column: nearest neighbours and their distance in Å.
Positions (direct):
W 0.0000 0.5000 0.0000  2 Sc 2.31
W 0.0000 0.0000 0.5000  2 Sc 2.31
W 0.5000 0.0000 0.0000  2 Sc 2.31
Ag 0.5000 0.5000 0.5000  12 W 3.27
Sc 0.0000 0.0000 0.0000  6 W 2.31

Summary:
The energy relative to the elements is 2.459 eV/atom. The distance to the lowest polymorph of the same formula is 2 meV per atom.